Entry 1:
This record from Alexandria describes SbC2Se at its PBEsol-relaxed geometry. The functional is meta-GGA SCAN.

Results
ΔE_f (raw): 2.5865 eV/atom
Total magnetic moment: 0.0004 μB per atom

Cell lengths 4.210, 4.210, 4.210 Å; angles 60.00, 60.00, 60.00 degrees
Atoms (fractional coordinates):
Sb 0.000 0.000 0.000
C 0.250 0.250 0.250
C 0.750 0.750 0.750
Se 0.500 0.500 0.500

***

Entry 2:
This record from Alexandria describes K6Co2O5 at its PBEsol-relaxed geometry. The functional is meta-GGA SCAN.

Results
ΔE_f (raw): -1.2951 eV/atom
Total magnetic moment: 0.4615 μB per atom

Cell lengths 6.552, 6.552, 11.656 Å; angles 90.00, 90.00, 90.00 degrees
Atoms (fractional coordinates):
K 0.000 0.000 0.220
K 0.000 0.000 0.780
K 0.000 0.500 0.250
K 0.000 0.500 0.750
K 0.175 0.175 0.500
K 0.325 0.675 0.000
K 0.500 0.000 0.250
K 0.500 0.000 0.750
K 0.500 0.500 0.280
K 0.500 0.500 0.720
K 0.675 0.325 0.000
K 0.825 0.825 0.500
Co 0.198 0.198 0.000
Co 0.302 0.698 0.500
Co 0.698 0.302 0.500
Co 0.802 0.802 0.000
O 0.000 0.000 0.000
O 0.206 0.794 0.365
O 0.206 0.794 0.635
O 0.294 0.294 0.135
O 0.294 0.294 0.865
O 0.500 0.500 0.500
O 0.706 0.706 0.135
O 0.706 0.706 0.865
O 0.794 0.206 0.365
O 0.794 0.206 0.635

***

Entry 3:
This record from Alexandria describes HfAlGe3 at its PBEsol-relaxed geometry. The functional is meta-GGA SCAN.

Results
ΔE to the lowest computed polymorph: 70 kJ/mol of formula units
Calculated formation energy: 0.768 eV per atom
Total magnetic moment: 0.0000 μB per atom

Cell lengths 4.718, 4.718, 4.718 Å; angles 90.00, 90.00, 90.00 degrees
Atoms (fractional coordinates):
Hf 0.000 0.000 0.000
Al 0.500 0.500 0.500
Ge 0.000 0.500 0.500
Ge 0.500 0.000 0.500
Ge 0.500 0.500 0.000

***

Entry 4:
This record from Alexandria describes Cd2ReAu at its PBEsol-relaxed geometry. The functional is meta-GGA SCAN.

Results
ΔE to the lowest computed polymorph: 35 kJ/mol of formula units
Calculated formation energy: 0.458 eV per atom
Total magnetic moment: 0.0000 μB per atom

Cell lengths 2.784, 5.019, 5.190 Å; angles 99.44, 90.03, 106.01 degrees
Atoms (fractional coordinates):
Cd 0.250 0.000 0.244
Cd 0.750 0.000 0.756
Re 0.500 0.500 0.000
Au 0.000 0.500 0.500

***

Entry 5:
This record from Alexandria describes CrCoRh at its PBEsol-relaxed geometry. The functional is meta-GGA SCAN.

Results
ΔE to the lowest computed polymorph: 25 kJ/mol of formula units
Calculated formation energy: 0.143 eV per atom
Total magnetic moment: 0.0002 μB per atom

Cell lengths 5.561, 5.561, 5.561 Å; angles 153.32, 153.32, 38.09 degrees
Atoms (fractional coordinates):
Cr 0.000 0.000 0.000
Co 0.349 0.349 0.000
Rh 0.672 0.672 0.000

***

Entry 6:
This record from Alexandria describes BaScTlMo2 at its PBEsol-relaxed geometry. The functional is meta-GGA SCAN.

Results
Calculated formation energy: 1.707 eV per atom
Total magnetic moment: 0.0001 μB per atom

Cell lengths 4.789, 4.789, 5.609 Å; angles 90.00, 90.00, 90.00 degrees
Atoms (fractional coordinates):
Ba 0.000 0.000 0.000
Sc 0.000 0.000 0.500
Tl 0.500 0.500 0.000
Mo 0.000 0.500 0.500
Mo 0.500 0.000 0.500